Record 1
Ba2OsSe: relaxed, PBE-GGA.

abc: 6.3242 6.3242 5.0658
angles: 94.98 94.98 39.84
Positions (direct):
1 Ba 0.0000 0.0000 0.0000
2 Ba 0.7335 0.7335 0.5305
3 Os 0.4443 0.4443 0.4485
4 Se 0.2860 0.2860 0.0603

Space-group type = Cm (8)
VASP energy = -4.7605 eV/atom

Record 2
Na2Dy2HfS6: relaxed, PBE-GGA.

abc: 6.7089 6.7089 7.1274
angles: 99.14 99.14 119.42
Positions (direct):
1 Na 0.1690 0.8310 0.0000
2 Na 0.8310 0.1690 0.0000
3 Dy 0.3339 0.6661 0.5000
4 Dy 0.6661 0.3339 0.5000
5 Hf 0.0000 0.0000 0.5000
6 S 0.0709 0.3882 0.7178
7 S 0.2388 0.2388 0.2835
8 S 0.3882 0.0709 0.7178
9 S 0.6118 0.9291 0.2822
10 S 0.7612 0.7612 0.7165
11 S 0.9291 0.6118 0.2822

Space-group type = C2/m (12)
VASP energy = -6.0014 eV/atom

Record 3
TaNb2Hg: relaxed, PBE-GGA.

abc: 3.4144 3.4144 6.4917
angles: 90.00 90.00 90.00
Positions (direct):
1 Ta 0.0000 0.0000 0.0000
2 Nb 0.5000 0.5000 0.2300
3 Nb 0.5000 0.5000 0.7700
4 Hg 0.0000 0.0000 0.5000

Space-group type = P4/mmm (123)
Energy of formation from the pure elements = 96 meV/atom

Record 4
LaCr2Br: relaxed, PBE-GGA.

abc: 9.5448 9.5448 9.5448
angles: 21.12 21.12 21.12
Positions (direct):
1 La 0.0000 0.0000 0.0000
2 Cr 0.2407 0.2407 0.2407
3 Cr 0.7593 0.7593 0.7593
4 Br 0.5000 0.5000 0.5000

Space-group type = R-3m (166)
Energy above the most stable polymorph in this dataset = 500 meV per atom

Density readings, ordered: 7.0 4.6 12.4 5.4 Mg/m³
Total magnetization readings, ordered: 2.0 0.0 0.0 8.2 μB per formula unit